# 1
La2ZnRu: optimized geometry, GGA-PBEsol. Values from VASP.

Calculated values
Raw total energy (eV/atom): -5.8062
SG: Pm
M_tot (μB per formula unit): 0.00

Geometry as Quantum ESPRESSO input:
```
&SYSTEM
  ibrav = 0, nat = 4, ntyp = 3
/
ATOMIC_SPECIES
Zn 65.41 Zn.upf
La 138.91 La.upf
Ru 101.07 Ru.upf
CELL_PARAMETERS angstrom
-1.719 2.224 3.002
-3.237 1.101 -2.669
-1.916 -5.401 0.095
ATOMIC_POSITIONS angstrom
Zn -3.831 -2.566 0.063
La -1.776 -4.883 0.139
Ru -1.438 -1.914 0.955
La -3.559 0.297 0.914
```

---

# 2
MnCdOs2: optimized geometry, GGA-PBEsol. Values from VASP.

Calculated values
Raw total energy (eV/atom): -8.2550
SG: I4/mmm
M_tot (μB per formula unit): 1.68

Geometry as Quantum ESPRESSO input:
```
&SYSTEM
  ibrav = 0, nat = 4, ntyp = 3
/
ATOMIC_SPECIES
Os 190.23 Os.upf
Mn 54.94 Mn.upf
Cd 112.41 Cd.upf
CELL_PARAMETERS angstrom
-3.554 0.341 -1.390
1.109 -1.696 -3.252
0.296 -2.825 3.831
ATOMIC_POSITIONS angstrom
Os 0.091 -2.599 -0.870
Mn 0.000 0.000 0.000
Os -2.240 -1.581 0.060
Cd -1.222 -0.678 -2.321
```

---

# 3
TeP2RuCl: optimized geometry, GGA-PBEsol. Values from VASP.

Calculated values
SG: P4/mmm
E_form (uncorrected) (kJ/mol of atoms): 29.0
M_tot (μB per formula unit): 0.00

Geometry as Quantum ESPRESSO input:
```
&SYSTEM
  ibrav = 0, nat = 5, ntyp = 4
/
ATOMIC_SPECIES
P 30.97 P.upf
Ru 101.07 Ru.upf
Cl 35.45 Cl.upf
Te 127.60 Te.upf
CELL_PARAMETERS angstrom
-0.998 -2.494 3.704
2.146 -3.597 -1.844
3.986 1.359 1.988
ATOMIC_POSITIONS angstrom
P 1.073 -1.798 -0.922
Ru 0.000 0.000 0.000
Cl 1.993 0.679 0.994
P -0.499 -1.247 1.852
Te 2.567 -2.366 1.925
```

---

# 4
MgSc2Be: optimized geometry, GGA-PBEsol. Values from VASP.

Calculated values
ΔE to the lowest computed polymorph (meV per atom): 288
SG: C2/m
M_tot (μB per formula unit): 0.00

Geometry as Quantum ESPRESSO input:
```
&SYSTEM
  ibrav = 0, nat = 4, ntyp = 3
/
ATOMIC_SPECIES
Mg 24.30 Mg.upf
Sc 44.96 Sc.upf
Be 9.01 Be.upf
CELL_PARAMETERS angstrom
-1.691 0.247 2.753
-2.551 -2.762 -3.226
3.267 -3.637 2.332
ATOMIC_POSITIONS angstrom
Mg -0.845 0.123 1.377
Sc -0.069 -3.748 2.200
Sc -0.906 -2.403 -0.341
Be 1.633 -1.818 1.166
```

---

# 5
LiAgSbSe2: optimized geometry, GGA-PBEsol. Values from VASP.

Calculated values
SG: P4/mmm
E_form (uncorrected) (kJ/mol of atoms): 37.1
M_tot (μB per formula unit): 0.00

Geometry as Quantum ESPRESSO input:
```
&SYSTEM
  ibrav = 0, nat = 5, ntyp = 4
/
ATOMIC_SPECIES
Se 78.96 Se.upf
Li 6.94 Li.upf
Sb 121.76 Sb.upf
Ag 107.87 Ag.upf
CELL_PARAMETERS angstrom
4.890 0.000 0.000
0.000 5.377 0.000
0.000 0.000 5.377
ATOMIC_POSITIONS angstrom
Se 0.000 2.688 0.000
Li 2.445 0.000 0.000
Se 0.000 0.000 2.688
Sb 0.000 0.000 0.000
Ag 2.445 2.688 2.688
```

---

# 6
In2TcW: optimized geometry, GGA-PBEsol. Values from VASP.

Calculated values
ΔE to the lowest computed polymorph (meV per atom): 0
SG: I-4m2
M_tot (μB per formula unit): 0.00

Geometry as Quantum ESPRESSO input:
```
&SYSTEM
  ibrav = 0, nat = 4, ntyp = 3
/
ATOMIC_SPECIES
W 183.84 W.upf
Tc 98.00 Tc.upf
In 114.82 In.upf
CELL_PARAMETERS angstrom
4.170 0.000 0.000
0.000 4.170 0.000
-2.085 -2.085 3.952
ATOMIC_POSITIONS angstrom
W 0.000 2.085 1.976
Tc 2.085 2.085 0.000
In 0.000 0.000 0.000
In 2.085 0.000 1.976
```